Entry 1:
Entry from the Open Quantum Materials Database: Nb2InSbIr2 after structural relaxation (PBE-GGA).

Geometry as extended XYZ:
```
12
Lattice="6.2311 0.0000 0.0000 0.0000 6.2311 0.0000 3.1155 3.1155 6.2488" Properties=species:S:1:pos:R:3 pbc="T T T"
In 3.1155 6.2311 3.1244
In 0.0000 0.0000 0.0000
Ir 7.7329 7.7888 4.6866
Ir 4.7292 4.6733 4.6866
Ir 4.6733 1.6137 1.5622
Ir 1.5578 4.6173 1.5622
Nb 3.1155 6.2311 6.2021
Nb 3.1155 3.1155 3.1710
Nb 3.1155 6.2311 0.0466
Nb 6.2311 6.2311 3.0778
Sb 6.2311 3.1155 3.1244
Sb 3.1155 3.1155 0.0000
```

Output
As for the final energy: -7.905 eV/atom. As for the space-group type: I-42d (122).

=====

Entry 2:
Entry from the Open Quantum Materials Database: Nd2InIr2 after structural relaxation (PBE-GGA).

Geometry as extended XYZ:
```
10
Lattice="5.1769 -2.8400 0.0000 5.1769 2.8400 0.0000 -2.2163 0.0000 7.9596" Properties=species:S:1:pos:R:3 pbc="T T T"
Ir 1.5017 1.9941 7.9001
Ir 2.6098 -1.9941 3.9203
Ir 5.5278 1.9941 4.0393
Ir 6.6360 -1.9941 0.0595
In 3.5148 1.9897 5.9697
In 4.6229 -1.9897 1.9899
Nd 5.2417 -0.8960 5.1519
Nd 1.7879 -0.8960 6.7875
Nd 2.8960 0.8960 2.8077
Nd 6.3498 0.8960 1.1721
```

Output
As for the final energy: -6.660 eV/atom. As for the space-group type: C2/c (15).

=====

Entry 3:
Entry from the Open Quantum Materials Database: NdInIr after structural relaxation (PBE-GGA).

Geometry as extended XYZ:
```
3
Lattice="0.0000 3.3733 3.3733 3.3733 0.0000 3.3733 3.3733 3.3733 0.0000" Properties=species:S:1:pos:R:3 pbc="T T T"
In 0.0000 0.0000 0.0000
Ir 1.6867 1.6867 1.6867
Nd 5.0600 5.0600 5.0600
```

Output
As for the final energy: -5.345 eV/atom. As for the space-group type: F-43m (216).

=====

Entry 4:
Entry from the Open Quantum Materials Database: NdIn5NiIr after structural relaxation (PBE-GGA).

Geometry as extended XYZ:
```
8
Lattice="-4.8197 -2.9009 4.0263 -5.5475 2.3625 -3.3911 5.4149 -4.2862 -0.4046" Properties=species:S:1:pos:R:3 pbc="T T T"
Ni -2.5765 -0.1338 0.1579
In 1.6696 -2.3247 -1.2678
In -6.5879 -2.5827 1.5392
In -0.0238 -0.0012 0.0015
In -1.5425 -2.4070 -1.1138
In -3.3898 -2.3321 1.3004
Nd 0.1987 -3.5987 1.8169
Ir -7.7222 -0.4011 0.4731
```

Output
As for the final energy: -4.374 eV/atom. As for the space-group type: Imm2 (44).

=====

Entry 5:
Entry from the Open Quantum Materials Database: Nd2InIrO6 after structural relaxation (PBE-GGA).

Geometry as extended XYZ:
```
10
Lattice="2.7574 -4.6912 -1.7254 -1.7007 -2.7405 -4.7101 3.2206 0.1524 -4.7109" Properties=species:S:1:pos:R:3 pbc="T T T"
O 4.0283 -4.0822 -5.9980
O 0.2490 -3.1971 -5.1484
O 1.6061 -5.5061 -5.9976
O 2.4432 -4.1572 -3.6794
O 2.6712 -1.7733 -5.1488
O 1.8341 -3.1221 -7.4670
Nd 3.2079 -5.4595 -8.3598
Nd 1.0693 -1.8198 -2.7866
Ir 2.1386 -3.6397 -5.5732
In 0.0000 0.0000 0.0000
```

Output
As for the final energy: -6.933 eV/atom. As for the space-group type: Fm-3m (225).

=====

Entry 6:
Entry from the Open Quantum Materials Database: Nd2In2Ir3Pd after structural relaxation (PBE-GGA).

Geometry as extended XYZ:
```
8
Lattice="4.6131 0.0000 0.0000 -2.3065 3.9950 0.0000 0.0000 0.0000 9.1269" Properties=species:S:1:pos:R:3 pbc="T T T"
Nd 0.0000 0.0000 2.3010
Nd 0.0000 2.6634 6.7882
Ir 0.0000 2.6634 0.8658
Ir 0.0000 2.6634 3.6884
Ir 0.0000 0.0000 5.3379
In 2.3065 1.3317 4.5813
In 2.3065 1.3317 0.0656
Pd 0.0000 0.0000 8.3159
```

Output
As for the final energy: -6.305 eV/atom. As for the space-group type: P3m1 (156).

=====

Entry 7:
Entry from the Open Quantum Materials Database: PrNdIn4Ir2 after structural relaxation (PBE-GGA).

Geometry as extended XYZ:
```
8
Lattice="8.0347 0.0000 0.0000 0.0000 2.2171 5.2041 0.0000 -2.2171 5.2041" Properties=species:S:1:pos:R:3 pbc="T T T"
In 6.4431 0.0000 1.5089
In 2.4148 0.0000 8.9003
In 5.6199 0.0000 8.9003
In 1.5917 0.0000 1.5089
Pr 4.0174 0.0000 5.9281
Ir 0.0000 0.0000 7.4720
Ir 4.0174 0.0000 2.9372
Nd 0.0000 0.0000 4.4772
```

Output
As for the final energy: -5.303 eV/atom. As for the space-group type: Amm2 (38).

=====

Entry 8:
Entry from the Open Quantum Materials Database: Nd2InSnIr4 after structural relaxation (PBE-GGA).

Geometry as extended XYZ:
```
8
Lattice="4.5847 0.0000 0.0000 -2.2923 3.9704 0.0000 0.0000 0.0000 9.1492" Properties=species:S:1:pos:R:3 pbc="T T T"
Ir 2.2923 1.3235 8.2288
Ir 0.0000 2.6469 0.9204
Ir 2.2923 1.3235 5.4330
Ir 0.0000 2.6469 3.7161
Nd 0.0000 2.6469 6.9063
Nd 2.2923 1.3235 2.2429
In 0.0000 0.0000 0.0000
Sn 0.0000 0.0000 4.5746
```

Output
As for the final energy: -6.845 eV/atom. As for the space-group type: P-3m1 (164).

=====

Entry 9:
Entry from the Open Quantum Materials Database: NdTmIn2Ir4 after structural relaxation (PBE-GGA).

Geometry as extended XYZ:
```
8
Lattice="4.5750 0.0000 0.0000 -2.2875 3.9620 0.0000 0.0000 0.0000 8.9536" Properties=species:S:1:pos:R:3 pbc="T T T"
Ir 0.0000 0.0000 3.1977
Ir 0.0000 0.0000 5.7559
Ir 0.0000 2.6414 7.4472
Ir 0.0000 2.6414 1.5064
Nd 0.0000 0.0000 0.0000
Tm 0.0000 2.6414 4.4768
In 2.2875 1.3207 2.2818
In 2.2875 1.3207 6.6718
```

Output
As for the final energy: -6.652 eV/atom. As for the space-group type: P-6m2 (187).

=====

Entry 10:
Entry from the Open Quantum Materials Database: NdYIn2Ir4 after structural relaxation (PBE-GGA).

Geometry as extended XYZ:
```
8
Lattice="-1.7678 2.7194 -3.2407 0.1375 -4.5381 -0.6396 -8.1144 -0.7779 3.7738" Properties=species:S:1:pos:R:3 pbc="T T T"
Nd 0.0000 0.0000 0.0000
Ir -2.8869 -0.2767 1.3426
Ir -5.2275 -0.5011 2.4312
Ir -7.3026 -2.7713 1.6581
Ir -1.8070 -2.2445 -0.8977
In -7.1915 -0.2806 0.4441
In -3.1883 0.1032 -1.4177
Y -4.5548 -2.5079 0.3802
```

Output
As for the final energy: -6.880 eV/atom. As for the space-group type: P-6m2 (187).

=====

Entry 11:
Entry from the Open Quantum Materials Database: In2NiIr after structural relaxation (PBE-GGA).

Geometry as extended XYZ:
```
4
Lattice="0.0000 3.2307 3.2307 3.2307 0.0000 3.2307 3.2307 3.2307 0.0000" Properties=species:S:1:pos:R:3 pbc="T T T"
In 1.6154 1.6154 1.6154
In 0.0000 0.0000 0.0000
Ir 3.2307 3.2307 3.2307
Ni 4.8461 4.8461 4.8461
```

Output
As for the final energy: -4.757 eV/atom. As for the space-group type: F-43m (216).

=====

Entry 12:
Entry from the Open Quantum Materials Database: Pr3In2NiSnIr2 after structural relaxation (PBE-GGA).

Geometry as extended XYZ:
```
9
Lattice="4.0840 0.0000 0.0000 0.0000 6.5968 3.7992 0.0000 -6.5968 3.7992" Properties=species:S:1:pos:R:3 pbc="T T T"
Pr 0.0000 -2.7129 1.5737
Pr 0.0000 0.0000 4.4621
Pr 0.0000 2.7129 1.5737
In 2.0420 -4.9812 2.8687
In 2.0420 4.9812 2.8687
Ir 2.0420 2.1831 3.7869
Ir 2.0420 -2.1831 3.7869
Ni 0.0000 0.0000 0.0301
Sn 2.0420 0.0000 1.8432
```

Output
As for the final energy: -5.854 eV/atom. As for the space-group type: Amm2 (38).

=====

Entry 13:
Entry from the Open Quantum Materials Database: Sc2In4NiIr after structural relaxation (PBE-GGA).

Geometry as extended XYZ:
```
8
Lattice="7.6576 0.0000 0.0000 0.0000 2.1039 4.9983 0.0000 -2.1039 4.9983" Properties=species:S:1:pos:R:3 pbc="T T T"
In 1.4786 0.0000 6.4008
In 5.4369 0.0000 3.5930
In 2.2207 0.0000 3.5930
In 6.1790 0.0000 6.4008
Ni 0.0000 0.0000 2.1384
Ir 3.8288 0.0000 7.7894
Sc 0.0000 0.0000 9.3343
Sc 3.8288 0.0000 0.7367
```

Output
As for the final energy: -5.159 eV/atom. As for the space-group type: Amm2 (38).

=====

Entry 14:
Entry from the Open Quantum Materials Database: ScInNiIr after structural relaxation (PBE-GGA).

Geometry as extended XYZ:
```
4
Lattice="-0.9007 -3.3553 2.9182 -3.6432 -2.6314 -0.6229 0.5154 -4.3214 -1.2826" Properties=species:S:1:pos:R:3 pbc="T T T"
Ni -3.0214 -7.7311 0.7596
In 0.0000 0.0000 0.0000
Ir -2.0143 -5.1540 0.5064
Sc -1.0071 -2.5770 0.2532
```

Output
As for the final energy: -6.091 eV/atom. As for the space-group type: F-43m (216).

=====

Entry 15:
Entry from the Open Quantum Materials Database: Sr2In4NiIr after structural relaxation (PBE-GGA).

Geometry as extended XYZ:
```
8
Lattice="-6.3482 4.1896 -2.3023 -3.1167 -5.0410 -0.5796 -3.4740 -3.3431 3.4953" Properties=species:S:1:pos:R:3 pbc="T T T"
In -7.3371 0.4739 -0.8407
In -8.7077 -2.6003 0.3201
In -3.5331 -2.0367 0.5389
In -6.2811 -4.2018 1.2001
Sr -9.3862 -5.8077 1.5970
Sr -0.3973 -0.5054 0.1758
Ni -4.6203 0.2551 -0.5114
Ir -5.1447 -6.5446 2.2760
```

Output
As for the final energy: -3.969 eV/atom. As for the space-group type: Amm2 (38).

=====

Entry 16:
Entry from the Open Quantum Materials Database: TaInNiIr after structural relaxation (PBE-GGA).

Geometry as extended XYZ:
```
4
Lattice="-3.3193 1.6597 2.4277 -4.1391 -0.0253 -1.5915 -3.0347 -2.7147 1.7571" Properties=species:S:1:pos:R:3 pbc="T T T"
Ir -5.2465 -0.5401 1.2967
Ta -2.6233 -0.2701 0.6483
Ni -7.8698 -0.8102 1.9450
In 0.0000 0.0000 0.0000
```

Output
As for the final energy: -7.197 eV/atom. As for the space-group type: F-43m (216).

=====

Entry 17:
Entry from the Open Quantum Materials Database: Tb3In3Ni2Ir after structural relaxation (PBE-GGA).

Geometry as extended XYZ:
```
9
Lattice="-4.2451 4.2745 -4.3776 0.9710 -7.1994 -1.6375 -3.1819 -0.9254 2.1820" Properties=species:S:1:pos:R:3 pbc="T T T"
In -0.8568 -0.7654 -1.5740
In 0.7169 -5.3155 -1.2090
In -3.1343 3.1560 -3.2321
Ni -0.7677 -3.3748 -2.5508
Ni -2.5064 0.4499 -3.4642
Ir -1.5910 -0.4627 1.0910
Tb -3.5370 -2.2011 -2.4841
Tb -3.3130 1.2712 -0.6847
Tb -1.1971 -3.3831 0.4268
```

Output
As for the final energy: -5.214 eV/atom. As for the space-group type: P-62m (189).

=====

Entry 18:
Entry from the Open Quantum Materials Database: Tb3In3NiIr2 after structural relaxation (PBE-GGA).

Geometry as extended XYZ:
```
9
Lattice="7.5478 0.0000 0.0000 -3.7739 6.5366 0.0000 0.0000 0.0000 3.8540" Properties=species:S:1:pos:R:3 pbc="T T T"
Ir 0.0000 4.3577 1.9270
Ir 3.7739 2.1789 1.9270
In 0.9396 1.6274 1.9270
In -2.8343 4.9092 1.9270
In 5.6686 0.0000 1.9270
Tb 2.2218 3.8483 0.0000
Tb -1.5521 2.6883 0.0000
Tb 3.1042 0.0000 0.0000
Ni 0.0000 0.0000 0.0000
```

Output
As for the final energy: -5.706 eV/atom. As for the space-group type: P-62m (189).

=====

Entry 19:
Entry from the Open Quantum Materials Database: Tm3In3NiIr2 after structural relaxation (PBE-GGA).

Geometry as extended XYZ:
```
9
Lattice="7.5180 0.0000 0.0000 -3.7590 6.5108 0.0000 0.0000 0.0000 3.7477" Properties=species:S:1:pos:R:3 pbc="T T T"
Tm 2.2208 3.8466 1.8739
Tm 3.0764 0.0000 1.8739
Tm -1.5382 2.6642 1.8739
In 0.9459 1.6384 0.0000
In -2.8131 4.8725 0.0000
In 5.6262 0.0000 0.0000
Ir 3.7590 2.1703 0.0000
Ir 0.0000 4.3405 0.0000
Ni 0.0000 0.0000 1.8739
```

Output
As for the final energy: -5.665 eV/atom. As for the space-group type: P-62m (189).

=====

Entry 20:
Entry from the Open Quantum Materials Database: Tm2In4NiIr after structural relaxation (PBE-GGA).

Geometry as extended XYZ:
```
8
Lattice="7.6917 0.0000 0.0000 0.0000 2.1525 5.1316 0.0000 -2.1525 5.1316" Properties=species:S:1:pos:R:3 pbc="T T T"
Ni 3.8458 0.0000 7.3311
In 6.0931 0.0000 8.8060
In 1.5986 0.0000 8.8060
In 5.3353 0.0000 1.4465
In 2.3564 0.0000 1.4465
Tm 0.0000 0.0000 5.8794
Tm 3.8458 0.0000 4.4392
Ir 0.0000 0.0000 2.8986
```

Output
As for the final energy: -4.763 eV/atom. As for the space-group type: Amm2 (38).

=====

Entry 21:
Entry from the Open Quantum Materials Database: Y3In3Ni2Ir after structural relaxation (PBE-GGA).

Geometry as extended XYZ:
```
9
Lattice="-6.1843 -2.3514 3.3740 6.3914 0.3263 3.7684 -0.8260 3.7203 1.0788" Properties=species:S:1:pos:R:3 pbc="T T T"
Y 0.0837 -0.8183 2.8862
Y -3.6852 -1.4012 2.0106
Y 3.8087 0.1944 2.2456
Ni 1.7865 1.2939 4.1763
Ni -2.4054 0.4013 4.0448
Ir 0.0000 0.0000 0.0000
In 1.2674 1.9459 1.5302
In -2.0389 1.2420 1.4265
In -0.2603 0.3675 5.8040
```

Output
As for the final energy: -5.829 eV/atom. As for the space-group type: P-62m (189).

=====

Entry 22:
Entry from the Open Quantum Materials Database: In2Ir2O5 after structural relaxation (PBE-GGA).

Geometry as extended XYZ:
```
9
Lattice="6.9257 0.0000 0.0000 0.0000 3.9070 0.0000 0.0000 0.0000 3.9070" Properties=species:S:1:pos:R:3 pbc="T T T"
O 5.0555 0.0000 1.9535
O 5.0555 1.9535 0.0000
O 1.8702 1.9535 0.0000
O 1.8702 0.0000 1.9535
O 3.4629 1.9535 1.9535
Ir 5.5817 1.9535 1.9535
Ir 1.3440 1.9535 1.9535
In 3.4629 0.0000 0.0000
In 0.0000 0.0000 0.0000
```

Output
The calculation puts the offset from the most stable computed form at 0.000 kcal/mol of atoms. As for the final energy: -5.746 eV/atom. As for the space-group type: P4/mmm (123).

=====

Entry 23:
Entry from the Open Quantum Materials Database: InIrO4 after structural relaxation (PBE-GGA).

Geometry as extended XYZ:
```
12
Lattice="4.6812 0.0000 0.0000 0.0000 5.7744 0.0000 -0.2373 0.0000 5.2782" Properties=species:S:1:pos:R:3 pbc="T T T"
In -0.0593 3.8451 1.3195
In -0.1779 1.9293 3.9586
Ir 2.2813 0.8518 1.3195
Ir 2.1627 4.9227 3.9586
O 1.3018 5.1971 0.3229
O 3.4308 2.1721 2.1238
O 3.3122 3.6024 4.7629
O 3.1421 0.5773 4.9553
O 1.1832 0.5773 2.9620
O 3.2607 5.1971 2.3162
O 1.1318 2.1721 0.5153
O 1.0131 3.6024 3.1544
```

Output
The calculation puts the offset from the most stable computed form at 1.495 kcal/mol of atoms. As for the final energy: -6.198 eV/atom. As for the space-group type: P2/c (13).

=====

Entry 24:
Entry from the Open Quantum Materials Database: In2Ir2O5 after structural relaxation (PBE-GGA).

Geometry as extended XYZ:
```
9
Lattice="9.1146 0.0000 0.0000 0.0000 3.5981 0.0000 0.0000 0.0000 3.5981" Properties=species:S:1:pos:R:3 pbc="T T T"
Ir 4.5573 0.0000 0.0000
Ir 0.0000 0.0000 0.0000
O 4.5573 1.7990 1.7990
O 1.1892 1.7990 0.0000
O 1.1892 0.0000 1.7990
O 7.9254 0.0000 1.7990
O 7.9254 1.7990 0.0000
In 6.6836 1.7990 1.7990
In 2.4310 1.7990 1.7990
```

Output
The calculation puts the offset from the most stable computed form at 1.270 kcal/mol of atoms. As for the final energy: -5.691 eV/atom. As for the space-group type: P4/mmm (123).